A plane-wave DFT calculation with GGA-PBE was carried out for an optimized crystal structure of LaRhCl2.

Results
formation energy from raw total energies = -1.00 eV/atom
distance to the lowest polymorph of the same formula = 1.457 eV per formula unit
uncorrected energy = -4.992 eV per atom
N(E_F) = 1.39 states/eV/cell

Cell lengths 6.0532, 6.7517, 4.3894 Å; angles 90.00, 90.00, 90.00 degrees
Space group Cmmm (No. 65)
Unique sites:
La 0.0000 0.0000 0.0000
Rh 0.0000 0.5000 0.0000
Cl 0.0000 0.2743 0.5000